A plane-wave DFT calculation with PBE was carried out for CsSn8 after structural relaxation.

Cell and atoms, written as POSCAR:
```
CsSn8
1.0
-5.419 5.419 2.434
5.419 -5.419 2.434
5.419 5.419 -2.434
Cs Sn
1 8
Direct
0.000 0.000 0.000 Cs
0.000 0.353 0.353 Sn
0.000 0.647 0.647 Sn
0.310 0.310 0.620 Sn
0.310 0.690 0.000 Sn
0.353 0.000 0.353 Sn
0.647 0.000 0.647 Sn
0.690 0.310 0.000 Sn
0.690 0.690 0.380 Sn
```

Results
VASP energy: -32.53 eV per cell
space group: I4/mmm, No. 139
magnetic moment: 0.00 μB per atom
formation enthalpy at 0 K: 34 kJ/mol of formula units

A plane-wave DFT calculation with PBE was carried out for Te2PbSe after structural relaxation.

Cell and atoms, written as POSCAR:
```
Te2PbSe
1.0
3.897 0.000 0.000
-1.948 3.375 0.000
0.000 0.000 30.090
Te Pb Se
6 3 3
Direct
0.000 0.000 0.105 Te
0.000 0.000 0.895 Te
0.333 0.667 0.561 Te
0.333 0.667 0.772 Te
0.667 0.333 0.228 Te
0.667 0.333 0.439 Te
0.000 0.000 0.000 Pb
0.333 0.667 0.667 Pb
0.667 0.333 0.333 Pb
0.000 0.000 0.500 Se
0.333 0.667 0.167 Se
0.667 0.333 0.833 Se
```

Results
VASP energy: -37.65 eV per cell
raw formation energy: 0.2316 eV/atom
space group: R-3m, No. 166
magnetic moment: 0.00 μB per atom

A plane-wave DFT calculation with PBE was carried out for CrInNi2 after structural relaxation.

Cell and atoms, written as POSCAR:
```
CrInNi2
1.0
6.101 0.000 0.000
0.000 6.101 0.000
0.000 0.000 6.101
Cr In Ni
4 4 8
Direct
0.000 0.000 0.000 Cr
0.000 0.500 0.500 Cr
0.500 0.000 0.500 Cr
0.500 0.500 0.000 Cr
0.250 0.250 0.750 In
0.250 0.750 0.250 In
0.750 0.250 0.250 In
0.750 0.750 0.750 In
0.000 0.000 0.500 Ni
0.000 0.500 0.000 Ni
0.250 0.250 0.250 Ni
0.250 0.750 0.750 Ni
0.500 0.000 0.000 Ni
0.500 0.500 0.500 Ni
0.750 0.250 0.750 Ni
0.750 0.750 0.250 Ni
```

Results
VASP energy: -92.56 eV per cell
space group: F-43m, No. 216
magnetic moment: 0.92 μB per atom
formation enthalpy at 0 K: 76 kJ/mol of formula units